(1)
# TlRh2SeBr, relaxed, DFT GGA-PBE
# Total energy: -0.152 Ha/atom
# Formation energy from raw total energies: 312 meV per atom
# Space group: No. 123
data_TlRh2SeBr
_cell_length_a 4.594
_cell_length_b 4.594
_cell_length_c 6.222
_cell_angle_alpha 90.00
_cell_angle_beta 90.00
_cell_angle_gamma 90.00
_space_group_name_H-M_alt 'P 1'
_space_group_IT_number 1
_space_group_name_Hall 'P 1'
loop_
_atom_site_label
_atom_site_type_symbol
_atom_site_fract_x
_atom_site_fract_y
_atom_site_fract_z
Tl1 Tl 0.000 0.000 0.000
Rh1 Rh 0.000 0.500 0.500
Rh2 Rh 0.500 0.000 0.500
Se1 Se 0.500 0.500 0.500
Br1 Br 0.500 0.500 0.000

***

(2)
# LaMo2As2, relaxed, DFT GGA-PBE
# Total energy: -0.284 Ha/atom
# ΔH_f (0 K): -0.549 eV per atom
# Space group: No. 139
data_LaMo2As2
_cell_length_a 7.259
_cell_length_b 7.259
_cell_length_c 7.259
_cell_angle_alpha 148.75
_cell_angle_beta 148.75
_cell_angle_gamma 44.78
_space_group_name_H-M_alt 'P 1'
_space_group_IT_number 1
_space_group_name_Hall 'P 1'
loop_
_atom_site_label
_atom_site_type_symbol
_atom_site_fract_x
_atom_site_fract_y
_atom_site_fract_z
La1 La 0.000 0.000 0.000
Mo1 Mo 0.250 0.750 0.500
Mo2 Mo 0.750 0.250 0.500
As1 As 0.377 0.377 0.000
As2 As 0.623 0.623 0.000

***

(3)
# Be2SnH, relaxed, DFT GGA-PBE
# Total energy: -0.125 Ha/atom
# Space group: No. 141
data_Be2SnH
_cell_length_a 5.977
_cell_length_b 5.977
_cell_length_c 5.977
_cell_angle_alpha 138.27
_cell_angle_beta 138.27
_cell_angle_gamma 60.49
_space_group_name_H-M_alt 'P 1'
_space_group_IT_number 1
_space_group_name_Hall 'P 1'
loop_
_atom_site_label
_atom_site_type_symbol
_atom_site_fract_x
_atom_site_fract_y
_atom_site_fract_z
Be1 Be 0.000 0.000 0.000
Be2 Be 0.000 0.000 0.500
Be3 Be 0.000 0.500 0.000
Be4 Be 0.500 0.000 0.500
Sn1 Sn 0.375 0.625 0.750
Sn2 Sn 0.625 0.375 0.250
H1 H 0.125 0.875 0.250
H2 H 0.875 0.125 0.750